VASP calculation (PBE) on a geometry-optimized Ac2TlGeO5 structure.

abc: 5.885 7.309 7.309
angles: 90.00 90.00 90.00
Last column: magnetic moment on the atom in μB.
Sites, in units of the cell vectors:
Ac: 0.500 0.683 0.183  0.03
Ac: 0.500 0.183 0.317  0.03
Ac: 0.500 0.817 0.683  0.03
Ac: 0.500 0.317 0.817  0.03
Tl: 0.000 0.500 0.500  0.04
Tl: 0.000 0.000 0.000  0.04
Ge: 0.000 0.000 0.500  0.17
Ge: 0.000 0.500 0.000  0.17
O: 0.500 0.500 0.500  0.00
O: 0.500 0.000 0.000  0.00
O: 0.241 0.125 0.625  0.09
O: 0.241 0.875 0.375  0.09
O: 0.241 0.375 0.125  0.09
O: 0.241 0.625 0.875  0.09
O: 0.759 0.125 0.625  0.09
O: 0.759 0.625 0.875  0.09
O: 0.759 0.875 0.375  0.09
O: 0.759 0.375 0.125  0.09

Calculated values
Its formation energy (no corrections) is -2.14 eV/atom.

VASP calculation (PBE) on a geometry-optimized Ac2Tl2GeO6 structure.

abc: 6.188 6.188 6.535
angles: 97.08 97.08 118.15
Sites, in units of the cell vectors:
Ac: 0.335 0.665 0.500
Ac: 0.665 0.335 0.500
Tl: 0.843 0.157 0.000
Tl: 0.157 0.843 0.000
Ge: 0.000 0.000 0.500
O: 0.797 0.797 0.700
O: 0.047 0.318 0.651
O: 0.203 0.203 0.300
O: 0.318 0.047 0.651
O: 0.953 0.682 0.349
O: 0.682 0.953 0.349

Calculated values
Its formation energy (no corrections) is -1.95 eV/atom.

VASP calculation (PBE) on a geometry-optimized Ac2TlGeO6 structure.

abc: 5.034 5.743 5.743
angles: 90.00 90.00 90.00
Sites, in units of the cell vectors:
Ac: 0.015 0.500 0.000
Ac: 0.015 0.000 0.500
Tl: 0.552 0.500 0.500
Ge: 0.607 0.000 0.000
O: 0.727 0.221 0.221
O: 0.727 0.221 0.779
O: 0.097 0.500 0.500
O: 0.251 0.000 0.000
O: 0.727 0.779 0.779
O: 0.727 0.779 0.221

Calculated values
Its formation energy (no corrections) is -2.21 eV/atom.

| no. | total magnetization (μB/f.u.) |
| --- | --- |
| 1 | 1.0 |
| 2 | 0.0 |
| 3 | 0.0 |